Entry 1:
# RbBeTlTe2 (PBE, optimized geometry)
# DFT total energy: -3.085 eV per atom
# Raw formation energy: -0.416 eV per atom
data_RbBeTlTe2
_cell_length_a 8.159
_cell_length_b 5.301
_cell_length_c 9.434
_cell_angle_alpha 90.00
_cell_angle_beta 91.59
_cell_angle_gamma 90.00
_space_group_name_H-M_alt 'P 1 2/c 1'
_space_group_IT_number 13
_space_group_name_Hall '-P 2yc'
loop_
_atom_site_label
_atom_site_type_symbol
_atom_site_fract_x
_atom_site_fract_y
_atom_site_fract_z
Rb1 Rb 0.000 0.211 0.250
Be1 Be 0.500 0.500 0.000
Tl1 Tl 0.500 0.101 0.250
Te1 Te 0.269 0.306 0.929

---

Entry 2:
# GeP2Br (PBE, optimized geometry)
# DFT total energy: -3.459 eV per atom
# Raw formation energy: 0.818 eV per atom
data_GeP2Br
_cell_length_a 6.629
_cell_length_b 6.629
_cell_length_c 6.629
_cell_angle_alpha 90.00
_cell_angle_beta 90.00
_cell_angle_gamma 90.00
_space_group_name_H-M_alt 'F m -3 m'
_space_group_IT_number 225
_space_group_name_Hall '-F 4 2 3'
loop_
_atom_site_label
_atom_site_type_symbol
_atom_site_fract_x
_atom_site_fract_y
_atom_site_fract_z
Ge1 Ge 0.000 0.000 0.000
P1 P 0.250 0.250 0.250
Br1 Br 0.000 0.000 0.500

---

Entry 3:
# Pr6Sb4Te (PBE, optimized geometry)
# DFT total energy: -5.362 eV per atom
# Raw formation energy: -0.971 eV per atom
data_Pr6Sb4Te
_cell_length_a 12.6723
_cell_length_b 12.6723
_cell_length_c 15.8553
_cell_angle_alpha 90.00
_cell_angle_beta 90.00
_cell_angle_gamma 120.00
_space_group_name_H-M_alt 'R -3 c'
_space_group_IT_number 167
_space_group_name_Hall '-R 3 2"c'
loop_
_atom_site_label
_atom_site_type_symbol
_atom_site_fract_x
_atom_site_fract_y
_atom_site_fract_z
Pr1 Pr 0.0281 0.2026 0.3834
Sb1 Sb 0.0000 0.0000 0.2500
Sb2 Sb 0.0000 0.3850 0.2500
Te1 Te 0.0000 0.0000 0.0000

---

Entry 4:
# Zn3NiAu6 (PBE, optimized geometry)
# DFT total energy: -3.037 eV per atom
# Energy of formation from the pure elements: -10.7 kJ/mol of atoms
data_Zn3NiAu6
_cell_length_a 7.551
_cell_length_b 4.635
_cell_length_c 9.937
_cell_angle_alpha 90.00
_cell_angle_beta 109.99
_cell_angle_gamma 90.00
_space_group_name_H-M_alt 'P 1 21/m 1'
_space_group_IT_number 11
_space_group_name_Hall '-P 2yb'
loop_
_atom_site_label
_atom_site_type_symbol
_atom_site_fract_x
_atom_site_fract_y
_atom_site_fract_z
Zn1 Zn 0.094 0.250 0.235
Zn2 Zn 0.297 0.250 0.026
Zn3 Zn 0.313 0.750 0.381
Ni1 Ni 0.106 0.750 0.570
Au1 Au 0.070 0.250 0.710
Au2 Au 0.101 0.750 0.075
Au3 Au 0.275 0.250 0.521
Au4 Au 0.286 0.750 0.860
Au5 Au 0.488 0.250 0.330
Au6 Au 0.499 0.250 0.837

---

Entry 5:
# ScCdBr2 (PBE, optimized geometry)
# DFT total energy: -3.453 eV per atom
# Raw formation energy: -0.804 eV per atom
data_ScCdBr2
_cell_length_a 3.355
_cell_length_b 4.810
_cell_length_c 14.467
_cell_angle_alpha 90.00
_cell_angle_beta 90.00
_cell_angle_gamma 90.00
_space_group_name_H-M_alt 'I m m 2'
_space_group_IT_number 44
_space_group_name_Hall 'I 2 -2'
loop_
_atom_site_label
_atom_site_type_symbol
_atom_site_fract_x
_atom_site_fract_y
_atom_site_fract_z
Sc1 Sc 0.000 0.000 0.000
Cd1 Cd 0.000 0.500 0.310
Br1 Br 0.000 0.000 0.468
Br2 Br 0.000 0.500 0.649

---

Entry 6:
# LaTm3Se6 (PBE, optimized geometry)
# DFT total energy: -5.840 eV per atom
# Raw formation energy: -1.915 eV per atom
data_LaTm3Se6
_cell_length_a 11.563
_cell_length_b 4.133
_cell_length_c 11.833
_cell_angle_alpha 90.00
_cell_angle_beta 109.22
_cell_angle_gamma 90.00
_space_group_name_H-M_alt 'P 1 21/m 1'
_space_group_IT_number 11
_space_group_name_Hall '-P 2yb'
loop_
_atom_site_label
_atom_site_type_symbol
_atom_site_fract_x
_atom_site_fract_y
_atom_site_fract_z
La1 La 0.050 0.250 0.197
Tm1 Tm 0.159 0.250 0.587
Tm2 Tm 0.320 0.750 0.001
Tm3 Tm 0.443 0.250 0.335
Se1 Se 0.083 0.750 0.408
Se2 Se 0.121 0.250 0.965
Se3 Se 0.199 0.750 0.750
Se4 Se 0.268 0.750 0.229
Se5 Se 0.391 0.250 0.557
Se6 Se 0.480 0.250 0.113

---

Entry 7:
# YNbHg3 (PBE, optimized geometry)
# DFT total energy: -2.939 eV per atom
# Energy of formation from the pure elements: 53.0 kJ/mol of atoms
data_YNbHg3
_cell_length_a 5.274
_cell_length_b 5.274
_cell_length_c 5.274
_cell_angle_alpha 90.00
_cell_angle_beta 90.00
_cell_angle_gamma 90.00
_space_group_name_H-M_alt 'P m -3 m'
_space_group_IT_number 221
_space_group_name_Hall '-P 4 2 3'
loop_
_atom_site_label
_atom_site_type_symbol
_atom_site_fract_x
_atom_site_fract_y
_atom_site_fract_z
Y1 Y 0.000 0.000 0.000
Nb1 Nb 0.500 0.500 0.500
Hg1 Hg 0.000 0.500 0.500

---

Entry 8:
# Tl2HgPb (PBE, optimized geometry)
# DFT total energy: -2.167 eV per atom
# Energy of formation from the pure elements: 1.8 kJ/mol of atoms
data_Tl2HgPb
_cell_length_a 3.845
_cell_length_b 5.492
_cell_length_c 11.187
_cell_angle_alpha 90.00
_cell_angle_beta 90.00
_cell_angle_gamma 90.00
_space_group_name_H-M_alt 'I m m m'
_space_group_IT_number 71
_space_group_name_Hall '-I 2 2'
loop_
_atom_site_label
_atom_site_type_symbol
_atom_site_fract_x
_atom_site_fract_y
_atom_site_fract_z
Tl1 Tl 0.000 0.000 0.237
Hg1 Hg 0.000 0.500 0.500
Pb1 Pb 0.000 0.500 0.000